Computed, not measured: crystalline NbTlCoPd at its relaxed geometry at the PBE-GGA level of DFT.

- VASP energy (eV per atom) = -5.866
- crystal system = cubic
- space group = No. 216
- magnetization (μB/atom) = 0.3086
- energy above the lowest structure with this stoichiometry (meV per atom) = 185

a b c (Å): 4.568 4.568 4.568
angles (deg): 60.00 60.00 60.00
Sites, in units of the cell vectors:
Nb 0.000 0.000 0.000
Tl 0.250 0.250 0.250
Co 0.500 0.500 0.500
Pd 0.750 0.750 0.750